[1]
## RbTiMnCu2 (GGA-PBE)

Data for a relaxed structure of RbTiMnCu2.

Unit cell a=5.001 b=5.097 c=5.001 alpha=90.00 beta=90.00 gamma=90.00
Last column: magnetic moment on the atom in μB.
Element x y z (fractional)
Mn: 0.500 0.500 0.500  4.38
Cu: 0.000 0.000 0.500  0.04
Cu: 0.500 0.000 0.000  0.01
Rb: 0.000 0.000 0.000  0.07
Ti: 0.000 0.500 0.000  1.63

Calculated values
Total magnetic moment (Bohr magnetons per cell): 6.76
Energy relative to the elements (eV per atom): 2.17
SG: P4/mmm (123)
Uncorrected energy (eV/atom): -3.07

=====

[2]
## RbMnCuW2 (GGA-PBE)

Data for a relaxed structure of RbMnCuW2.

Unit cell a=4.737 b=4.453 c=4.737 alpha=90.00 beta=90.00 gamma=90.00
Last column: magnetic moment on the atom in μB.
Element x y z (fractional)
Mn: 0.000 0.500 0.000  3.01
Cu: 0.500 0.500 0.500  0.00
Rb: 0.000 0.000 0.000  -0.02
W: 0.000 0.000 0.500  -0.37
W: 0.500 0.000 0.000  -0.64

Calculated values
Total magnetic moment (Bohr magnetons per cell): 1.83
Energy relative to the elements (eV per atom): 3.66
SG: P4/mmm (123)
Uncorrected energy (eV/atom): -4.37